Record 1
An optimized crystal structure of Y2Mg15Cd2. Source: the Alexandria database, functional PBE-GGA.

As for the formation energy: -0.05 eV per atom. As for the total DFT energy (no corrections): -118.84 eV/cell.

The structure belongs to space group R-3m (No. 166, hexagonal axes); the cell edges are 10.1545, 10.1545 and 15.1575 Å and the angles 90.00°, 90.00° and 120.00°. Symmetry generates all atoms from Y at (0.0000, 0.0000, 0.1755), Mg at (0.0000, 0.3041, 0.5000), Mg at (0.0000, 0.5000, 0.0000), Mg at (0.0083, 0.5041, 0.6516) and Cd at (0.0000, 0.0000, 0.4001).

=====

Record 2
An optimized crystal structure of MgV. Source: the Alexandria database, functional PBE-GGA.

As for the formation energy: 0.42 eV per atom. As for the total DFT energy (no corrections): -59.27 eV/cell.

The structure belongs to space group P6_3/mmc (No. 194); the cell edges are 9.1478, 9.1478 and 2.9296 Å and the angles 90.00°, 90.00° and 120.00°. Symmetry generates all atoms from Mg at (0.1591, 0.3181, 0.2500) and V at (0.1338, 0.5669, 0.7500).

=====

Record 3
An optimized crystal structure of HoGe6. Source: the Alexandria database, functional PBE-GGA.

As for the formation energy: 0.29 eV per atom. As for the total DFT energy (no corrections): -60.54 eV/cell.

The structure belongs to space group Im-3m (No. 229); the cell edges are 7.046, 7.046 and 7.046 Å and the angles 90.00°, 90.00° and 90.00°. Symmetry generates all atoms from Ho at (0.000, 0.000, 0.000) and Ge at (0.000, 0.250, 0.500).

=====

Record 4
An optimized crystal structure of SiSb2Rh. Source: the Alexandria database, functional PBE-GGA.

The formation energy from raw total energies is 2.3 kcal/mol of atoms. As for the total DFT energy (no corrections): -82.50 eV/cell.

The structure belongs to space group I-42d (No. 122); the cell edges are 6.024, 6.024 and 11.890 Å and the angles 90.00°, 90.00° and 90.00°. Symmetry generates all atoms from Si at (0.000, 0.000, 0.000), Sb at (0.236, 0.250, 0.625) and Rh at (0.000, 0.000, 0.500).

=====

Record 5
An optimized crystal structure of NiSn3Pt. Source: the Alexandria database, functional PBE-GGA.

As for the formation energy: -0.24 eV per atom. The calculation puts the offset from the most stable computed form at 0.000 eV/atom. As for the total DFT energy (no corrections): -50.06 eV/cell.

The structure belongs to space group P-6c2 (No. 188); the cell edges are 6.6392, 6.6392 and 5.5533 Å and the angles 90.00°, 90.00° and 120.00°. Symmetry generates all atoms from Ni at (0.0000, 0.0000, 0.0000), Sn at (0.0388, 0.3550, 0.2500) and Pt at (0.6667, 0.3333, 0.0000).

=====

Record 6
An optimized crystal structure of TlSnPb3. Source: the Alexandria database, functional PBE-GGA.

As for the formation energy: 0.44 eV per atom. The calculation puts the offset from the most stable computed form at 0.428 eV/atom. As for the total DFT energy (no corrections): -15.27 eV/cell.

The structure belongs to space group Pm-3m (No. 221); the cell edges are 5.881, 5.881 and 5.881 Å and the angles 90.00°, 90.00° and 90.00°. Symmetry generates all atoms from Tl at (0.000, 0.000, 0.000), Sn at (0.500, 0.500, 0.500) and Pb at (0.000, 0.500, 0.500).

=====

Record 7
An optimized crystal structure of TbPrPdAu. Source: the Alexandria database, functional PBE-GGA.

As for the formation energy: -0.78 eV per atom. The calculation puts the offset from the most stable computed form at 0.054 eV/atom. As for the total DFT energy (no corrections): -83.93 eV/cell.

The structure belongs to space group F-43m (No. 216); the cell edges are 7.278, 7.278 and 7.278 Å and the angles 90.00°, 90.00° and 90.00°. Symmetry generates all atoms from Tb at (0.000, 0.000, 0.000), Pr at (0.000, 0.000, 0.500), Pd at (0.250, 0.250, 0.250) and Au at (0.250, 0.250, 0.750).

=====

Record 8
An optimized crystal structure of K2FeMo. Source: the Alexandria database, functional PBE-GGA.

As for the formation energy: 1.76 eV per atom. The calculation puts the offset from the most stable computed form at 0.904 eV/atom. As for the total DFT energy (no corrections): -14.46 eV/cell.

The structure belongs to space group P4/mmm (No. 123); the cell edges are 6.588, 6.588 and 2.743 Å and the angles 90.00°, 90.00° and 90.00°. Symmetry generates all atoms from K at (0.000, 0.500, 0.000), Fe at (0.000, 0.000, 0.500) and Mo at (0.500, 0.500, 0.500).

=====

Record 9
An optimized crystal structure of Li2ZrMo. Source: the Alexandria database, functional PBE-GGA.

As for the formation energy: 0.51 eV per atom. The calculation puts the offset from the most stable computed form at 0.282 eV/atom. As for the total DFT energy (no corrections): -42.37 eV/cell.

The structure belongs to space group I-4m2 (No. 119); the cell edges are 3.982, 3.982 and 8.295 Å and the angles 90.00°, 90.00° and 90.00°. Symmetry generates all atoms from Li at (0.000, 0.000, 0.000), Li at (0.000, 0.500, 0.250), Zr at (0.000, 0.000, 0.500) and Mo at (0.000, 0.500, 0.750).

=====

Record 10
An optimized crystal structure of GdTmCoPt. Source: the Alexandria database, functional PBE-GGA.

As for the formation energy: -0.67 eV per atom. As for the total DFT energy (no corrections): -137.47 eV/cell.

The structure belongs to space group F-43m (No. 216); the cell edges are 6.843, 6.843 and 6.843 Å and the angles 90.00°, 90.00° and 90.00°. Symmetry generates all atoms from Gd at (0.000, 0.000, 0.000), Tm at (0.000, 0.000, 0.500), Co at (0.250, 0.250, 0.250) and Pt at (0.250, 0.250, 0.750).

=====

Record 11
An optimized crystal structure of ScTi. Source: the Alexandria database, functional PBE-GGA.

As for the formation energy: 0.84 eV per atom. The calculation puts the offset from the most stable computed form at 0.750 eV/atom. As for the total DFT energy (no corrections): -50.23 eV/cell.

The structure belongs to space group Fm-3m (No. 225); the cell edges are 5.668, 5.668 and 5.668 Å and the angles 90.00°, 90.00° and 90.00°. Symmetry generates all atoms from Sc at (0.000, 0.000, 0.000) and Ti at (0.000, 0.000, 0.500).

=====

Record 12
An optimized crystal structure of Ba2C. Source: the Alexandria database, functional PBE-GGA.

As for the formation energy: 1.04 eV per atom. The calculation puts the offset from the most stable computed form at 0.902 eV/atom. As for the total DFT energy (no corrections): -39.82 eV/cell.

The structure belongs to space group Cmmm (No. 65); the cell edges are 7.238, 14.699 and 4.126 Å and the angles 90.00°, 90.00° and 90.00°. Symmetry generates all atoms from Ba at (0.000, 0.000, 0.000), Ba at (0.000, 0.243, 0.500), Ba at (0.000, 0.500, 0.500) and C at (0.000, 0.359, 0.000).

=====

Question: Which value of total DFT energy (no corrections) does entry 7 give?
Answer: -83.93 eV/cell

=====

Please write out number 11 again, unchanged.
An optimized crystal structure of ScTi. Source: the Alexandria database, functional PBE-GGA.

As for the formation energy: 0.84 eV per atom. The calculation puts the offset from the most stable computed form at 0.750 eV/atom. As for the total DFT energy (no corrections): -50.23 eV/cell.

The structure belongs to space group Fm-3m (No. 225); the cell edges are 5.668, 5.668 and 5.668 Å and the angles 90.00°, 90.00° and 90.00°. Symmetry generates all atoms from Sc at (0.000, 0.000, 0.000) and Ti at (0.000, 0.000, 0.500).

=====

Question: The lowest total DFT energy (no corrections) belongs to which entry?
Answer: GdTmCoPt